Li3Cr4PH3O16 | PBE with a Hubbard U | relaxed Values from VASP.

The structure in Quantum ESPRESSO input format:
```
&SYSTEM
  ibrav = 0, nat = 27, ntyp = 5
/
ATOMIC_SPECIES
O 16.00 O.upf
Cr 52.00 Cr.upf
Li 6.94 Li.upf
P 30.97 P.upf
H 1.01 H.upf
ATOMIC_POSITIONS crystal
O 0.970 0.761 0.549
O 0.744 0.496 0.976
O 0.658 0.165 0.815
O 0.910 0.378 0.229
O 0.378 0.910 0.229
O 0.165 0.658 0.815
O 0.531 0.325 0.500
O 0.969 0.775 0.089
O 0.775 0.969 0.089
O 0.761 0.970 0.549
O 0.070 0.070 0.159
O 0.458 0.458 0.767
O 0.130 0.130 0.812
O 0.325 0.531 0.500
O 0.496 0.744 0.976
O 0.184 0.184 0.407
Cr 0.977 0.977 0.432
Cr 0.551 0.924 0.042
Cr 0.924 0.551 0.042
Cr 0.368 0.368 0.638
Li 0.719 0.210 0.535
Li 0.210 0.719 0.535
Li 0.656 0.656 0.801
P 0.984 0.984 0.037
H 0.691 0.279 0.846
H 0.283 0.283 0.268
H 0.279 0.691 0.846
CELL_PARAMETERS angstrom
-6.134 -1.022 -4.926
1.870 -6.928 3.382
-6.264 -2.462 4.283
```

## Properties
Energy = -169.53 eV/cell
Spin magnetization = 0.111 μB/atom
Space group = Cm (8)
Calculated volume = 397.2 Å³ per cell